# 1
BaLiTa: relaxed, PBE.

Computed properties:
Energy   -27.484 eV per cell
Distance to the lowest polymorph of the same formula   0.220 eV per atom
Calculated volume   174 Å³ per cell
DFT formation energy   649 meV per atom
Mass density   6.21 g/cm³

abc: 3.4527 6.9092 8.1802
angles: 67.63 89.94 75.62
Last column: nearest neighbours and their distance in Å.
Space group P-1 (No. 2)
One atom of each set of equivalent atoms:
Ba  0.0000  0.0000  0.0000 [1 per cell]  2 Ba 3.45, 2 Li 3.54, 4 Ta 3.63-3.64
Ba  0.0000  0.0000  0.5000 [1 per cell]  2 Ba 3.45, 4 Li 3.57-3.58, 6 Ta 3.69
Li  0.2869  0.4265  0.1538 [2 per cell]  2 Li 2.88-2.89, 2 Ta 3.01
Ta  0.2969  0.4064  0.6257 [2 per cell]  2 Ta 2.60

---

# 2
BaLiTa: relaxed, PBE.

Computed properties:
Energy   -43.502 eV per cell
Distance to the lowest polymorph of the same formula   1.176 eV per atom
Calculated volume   363 Å³ per cell
DFT formation energy   1605 meV per atom
Mass density   5.96 g/cm³

abc: 7.1314 7.1314 7.1314
angles: 90.00 90.00 90.00
Last column: nearest neighbours and their distance in Å.
Space group F-43m (No. 216)
One atom of each set of equivalent atoms:
Ba  0.0000  0.0000  0.0000 [4 per cell]  4 Ta 3.09
Li  0.0000  0.0000  0.5000 [4 per cell]  4 Ta 3.09
Ta  0.2500  0.2500  0.2500 [4 per cell]  4 Li 3.09, 4 Ba 3.09

---

# 3
BaLi2Ta: relaxed, PBE.

Computed properties:
Energy   -29.042 eV per cell
Distance to the lowest polymorph of the same formula   0.106 eV per atom
Calculated volume   199 Å³ per cell
DFT formation energy   770 meV per atom
Mass density   5.55 g/cm³

abc: 10.5022 2.9843 6.3571
angles: 90.00 94.23 90.00
Last column: nearest neighbours and their distance in Å.
Space group C2/m (No. 12)
One atom of each set of equivalent atoms:
Ba  0.0000  0.0000  0.0000 [2 per cell]  2 Ba 2.98
Li  0.2400  0.0000  0.6822 [4 per cell]  4 Li 2.78-2.98, 3 Ta 3.04-3.08
Ta  0.0000  0.5000  0.5000 [2 per cell]  2 Ta 2.98, 6 Li 3.04-3.08

---

# 4
BaLiTa: relaxed, PBE.

Computed properties:
Energy   -54.810 eV per cell
Distance to the lowest polymorph of the same formula   0.234 eV per atom
Calculated volume   336 Å³ per cell
DFT formation energy   662 meV per atom
Mass density   6.43 g/cm³

abc: 17.2211 3.4878 5.5928
angles: 90.00 90.22 90.00
Last column: nearest neighbours and their distance in Å.
Space group Cm (No. 8)
One atom of each set of equivalent atoms:
Ba  0.0000  0.0000  0.0000 [2 per cell]  2 Li 3.27, 4 Ta 3.46, 2 Ba 3.49
Ba  0.1479  0.0000  0.5014 [2 per cell]  4 Ba 3.49-3.78, 4 Li 3.54, 2 Ta 3.54
Li  0.2229  0.5000  0.0020 [2 per cell]  2 Li 2.66
Li  0.3393  0.0000  0.9923 [2 per cell]  2 Li 2.66
Ta  0.3268  0.5000  0.4956 [2 per cell]  2 Ta 2.59
Ta  0.4379  0.0000  0.4992 [2 per cell]  2 Ta 2.59